[1]
## PmErInCu (PBE)

Data for a relaxed PmErInCu crystal.

a = 5.2102 Å, b = 5.2102 Å, c = 5.2102 Å
α = 60.00°, β = 60.00°, γ = 60.00°
With the nearest neighbours (Å) after each atom.
Atoms (fractional coordinates):
Pm 0.0000 0.0000 0.0000  4 In 3.19, 4 Cu 3.19
In 0.7500 0.7500 0.7500  4 Er 3.19, 4 Pm 3.19
Cu 0.2500 0.2500 0.2500  4 Er 3.19, 4 Pm 3.19
Er 0.5000 0.5000 0.5000  4 Cu 3.19, 4 In 3.19

As for the crystal system: cubic. Its formation energy from the elements is -0.29 eV/atom.

=====

[2]
## CrTeCI2 (PBE)

Data for a relaxed CrTeCI2 crystal.

a = 5.4970 Å, b = 5.4970 Å, c = 4.9332 Å
α = 90.00°, β = 90.00°, γ = 90.00°
With the nearest neighbours (Å) after each atom.
Atoms (fractional coordinates):
I 0.0000 0.5000 0.0000  2 Cr 2.75
I 0.5000 0.0000 0.0000  2 Cr 2.75
Cr 0.0000 0.0000 0.0000  2 Te 2.47, 4 I 2.75
C 0.5000 0.5000 0.5000  8 I 3.69, 4 Te 3.89
Te 0.0000 0.0000 0.5000  2 Cr 2.47

As for the crystal system: tetragonal. The calculation puts the raw formation energy at 1.713 eV/atom. As for the offset from the most stable computed form: 0 meV/atom.

=====

[3]
## VCu2Cl2 (PBE)

Data for a relaxed VCu2Cl2 crystal.

a = 6.3623 Å, b = 6.3623 Å, c = 4.5578 Å
α = 90.00°, β = 90.00°, γ = 90.00°
With the nearest neighbours (Å) after each atom.
Atoms (fractional coordinates):
V 0.0000 0.0000 0.0000  4 Cl 2.37
V 0.5000 0.5000 0.0000  4 Cl 2.37
Cu 0.2766 0.7766 0.5000  2 Cl 2.33
Cu 0.7766 0.7234 0.5000  2 Cl 2.33
Cu 0.7234 0.2234 0.5000  2 Cl 2.33
Cu 0.2234 0.2766 0.5000  2 Cl 2.33
Cl 0.3313 0.8313 0.0000  2 Cu 2.33, 2 V 2.37
Cl 0.8313 0.6687 0.0000  2 Cu 2.33, 2 V 2.37
Cl 0.6687 0.1687 0.0000  2 Cu 2.33, 2 V 2.37
Cl 0.1687 0.3313 0.0000  2 Cu 2.33, 2 V 2.37

As for the crystal system: tetragonal. The calculation puts the raw formation energy at 0.146 eV/atom. As for the offset from the most stable computed form: 95 meV/atom.

=====

[4]
## NaEr2Tl (PBE)

Data for a relaxed NaEr2Tl crystal.

a = 5.3594 Å, b = 5.3594 Å, c = 5.3594 Å
α = 60.00°, β = 60.00°, γ = 60.00°
With the nearest neighbours (Å) after each atom.
Atoms (fractional coordinates):
Na 0.5000 0.5000 0.5000  8 Er 3.28
Tl 0.0000 0.0000 0.0000  8 Er 3.28
Er 0.2500 0.2500 0.2500  4 Na 3.28, 4 Tl 3.28
Er 0.7500 0.7500 0.7500  4 Tl 3.28, 4 Na 3.28

As for the crystal system: cubic. Its formation energy from the elements is -0.02 eV/atom. As for the offset from the most stable computed form: 0 meV/atom.

=====

[5]
## La3Nd3AlHg2 (PBE)

Data for a relaxed La3Nd3AlHg2 crystal.

a = 3.8063 Å, b = 9.1491 Å, c = 9.1491 Å
α = 120.00°, β = 90.00°, γ = 90.00°
With the nearest neighbours (Å) after each atom.
Atoms (fractional coordinates):
La 0.5000 0.7250 0.0000  2 Al 3.15, 2 Hg 3.35
La 0.5000 0.0000 0.7250  2 Al 3.15, 2 Hg 3.35
La 0.5000 0.2750 0.2750  2 Al 3.15, 2 Hg 3.35
Nd 0.0000 0.6102 0.6102  4 Hg 3.41, 1 Al 3.57, 6 La 3.61-3.70, 2 Nd 3.81
Nd 0.0000 0.0000 0.3898  4 Hg 3.41, 1 Al 3.57, 6 La 3.61-3.70, 2 Nd 3.81
Nd 0.0000 0.3898 0.0000  4 Hg 3.41, 1 Al 3.57, 6 La 3.61-3.70, 2 Nd 3.81
Al 0.0000 0.0000 0.0000  6 La 3.15
Hg 0.5000 0.6667 0.3333  3 La 3.35, 6 Nd 3.41
Hg 0.5000 0.3333 0.6667  3 La 3.35, 6 Nd 3.41

As for the crystal system: hexagonal. Its formation energy from the elements is -0.25 eV/atom.

=====

[6]
## TbPmZnPt (PBE)

Data for a relaxed TbPmZnPt crystal.

a = 3.8986 Å, b = 4.4834 Å, c = 5.7847 Å
α = 90.00°, β = 109.69°, γ = 90.00°
With the nearest neighbours (Å) after each atom.
Atoms (fractional coordinates):
Tb 0.1395 0.0000 0.2790  3 Zn 3.03-3.12, 4 Pt 3.05
Pm 0.8591 0.5000 0.7181  3 Pt 3.06-3.09, 4 Zn 3.06
Zn 0.4263 0.0000 0.8525  2 Pt 2.77, 2 Tb 3.03, 4 Pm 3.06
Pt 0.5752 0.5000 0.1504  2 Zn 2.77, 4 Tb 3.05, 3 Pm 3.06-3.09

As for the crystal system: orthorhombic. Its formation energy from the elements is -0.77 eV/atom. As for the offset from the most stable computed form: 0 meV/atom.

=====

[7]
## PmMnFe4 (PBE)

Data for a relaxed PmMnFe4 crystal.

a = 5.0238 Å, b = 5.0238 Å, c = 5.0238 Å
α = 60.00°, β = 60.00°, γ = 60.00°
With the nearest neighbours (Å) after each atom.
Atoms (fractional coordinates):
Mn 0.2500 0.2500 0.2500  12 Fe 2.94, 4 Pm 3.08
Fe 0.6241 0.6241 0.1278  6 Fe 2.49-2.53
Fe 0.6241 0.1278 0.6241  6 Fe 2.49-2.53
Fe 0.6241 0.6241 0.6241  6 Fe 2.49-2.53
Fe 0.1278 0.6241 0.6241  6 Fe 2.49-2.53
Pm 0.0000 0.0000 0.0000  12 Fe 2.95, 4 Mn 3.08

As for the crystal system: cubic. Its formation energy from the elements is 0.14 eV/atom.

=====

[8]
## KSrPt (PBE)

Data for a relaxed KSrPt crystal.

a = 5.4750 Å, b = 5.4750 Å, c = 10.4186 Å
α = 99.33°, β = 99.33°, γ = 59.31°
With the nearest neighbours (Å) after each atom.
Atoms (fractional coordinates):
K 0.6323 0.6323 0.3480  3 Sr 3.73-3.94, 2 Pt 3.85
K 0.3677 0.3677 0.6520  3 Sr 3.73-3.94, 2 Pt 3.85
Sr 0.7262 0.7262 0.8712  4 Pt 3.02-3.05
Sr 0.2738 0.2738 0.1288  4 Pt 3.02-3.05
Pt 0.2513 0.7487 0.0000  2 Pt 2.69-2.72
Pt 0.7487 0.2513 0.0000  2 Pt 2.69-2.72

As for the crystal system: monoclinic. Its formation energy from the elements is -0.27 eV/atom.

=====

[9]
## MnNi7Ge2Sb2 (PBE)

Data for a relaxed MnNi7Ge2Sb2 crystal.

a = 3.6299 Å, b = 3.6299 Å, c = 13.7945 Å
α = 85.57°, β = 85.57°, γ = 90.55°
With the nearest neighbours (Å) after each atom.
Atoms (fractional coordinates):
Mn 0.0000 0.0000 0.0000  12 Ni 2.53-2.58
Ni 0.5000 0.5000 0.0000  8 Ni 2.53, 4 Mn 2.55-2.58
Ni 0.3659 0.3659 0.4162  1 Ge 2.40, 5 Sb 2.53-2.65
Ni 0.6341 0.6341 0.5838  1 Ge 2.40, 5 Sb 2.53-2.65
Ni 0.9622 0.4623 0.1284  2 Ge 2.38, 2 Mn 2.53, 6 Ni 2.53-2.58
Ni 0.4623 0.9622 0.1284  2 Ge 2.38, 2 Mn 2.53, 6 Ni 2.53-2.58
Ni 0.5377 0.0378 0.8716  2 Ge 2.38, 2 Mn 2.53, 6 Ni 2.53-2.58
Ni 0.0378 0.5377 0.8716  2 Ge 2.38, 2 Mn 2.53, 6 Ni 2.53-2.58
Ge 0.5712 0.5712 0.7591  5 Ni 2.38-2.40
Ge 0.4288 0.4288 0.2409  5 Ni 2.38-2.40
Sb 0.8640 0.8640 0.4024  5 Ni 2.53-2.65
Sb 0.1360 0.1360 0.5976  5 Ni 2.53-2.65

As for the crystal system: monoclinic. The calculation puts the raw formation energy at -0.055 eV/atom.

=====

[10]
## Mo2WSe (PBE)

Data for a relaxed Mo2WSe crystal.

a = 5.3295 Å, b = 5.3295 Å, c = 5.3295 Å
α = 145.74°, β = 131.52°, γ = 60.70°
With the nearest neighbours (Å) after each atom.
Atoms (fractional coordinates):
Mo 0.0011 0.0011 0.0000  4 Se 2.69, 2 W 2.81, 2 Mo 2.84
Mo 0.7435 0.2435 0.5000  4 W 2.70, 2 Se 2.73, 2 Mo 2.84
Se 0.5002 0.5002 0.0000  6 Mo 2.69-2.73, 2 W 2.75
W 0.2551 0.7551 0.5000  6 Mo 2.70-2.81, 2 Se 2.75

As for the crystal system: orthorhombic. The calculation puts the raw formation energy at 0.307 eV/atom.

=====

[11]
## KCd2Te2 (PBE)

Data for a relaxed KCd2Te2 crystal.

a = 5.0505 Å, b = 5.0505 Å, c = 8.0554 Å
α = 71.73°, β = 71.73°, γ = 90.00°
With the nearest neighbours (Å) after each atom.
Atoms (fractional coordinates):
K 0.0000 0.0000 0.0000  8 Te 4.10, 8 Cd 4.41
Te 0.3607 0.3607 0.2786  4 Cd 2.99
Te 0.6393 0.6393 0.7214  4 Cd 2.99
Cd 0.7500 0.2500 0.5000  4 Te 2.99
Cd 0.2500 0.7500 0.5000  4 Te 2.99

As for the crystal system: tetragonal. The calculation puts the raw formation energy at -0.446 eV/atom. As for the offset from the most stable computed form: 0 meV/atom.

=====

[12]
## PrSm2Te2 (PBE)

Data for a relaxed PrSm2Te2 crystal.

a = 4.7568 Å, b = 4.7568 Å, c = 7.5438 Å
α = 78.67°, β = 78.67°, γ = 79.00°
With the nearest neighbours (Å) after each atom.
Atoms (fractional coordinates):
Pr 0.0000 0.0000 0.0000  6 Te 3.19-3.50
Sm 0.2478 0.7522 0.5000  2 Sm 3.00-3.05, 4 Te 3.19
Sm 0.7522 0.2478 0.5000  2 Sm 3.00-3.05, 4 Te 3.19
Te 0.3269 0.3269 0.2088  4 Sm 3.19, 3 Pr 3.19-3.50, 1 Te 3.51
Te 0.6731 0.6731 0.7912  4 Sm 3.19, 3 Pr 3.19-3.50, 1 Te 3.51

As for the crystal system: monoclinic. The calculation puts the raw formation energy at -0.855 eV/atom.